# 1
BaBrNO2 | PBE | relaxed

Output
Symmetry: No. 123

Cell: 4.3496 4.3496 3.8970 Å, 90.00 90.00 90.00°
Positions (direct):
Ba1 0.5000 0.5000 0.5000
O1 0.0000 0.5000 0.0000
O2 0.5000 0.0000 0.0000
Br1 0.0000 0.0000 0.0000
N1 0.0000 0.0000 0.5000

---

# 2
BaBrN2O | PBE | relaxed

Output
Symmetry: No. 123

Cell: 4.1353 4.1353 4.3998 Å, 90.00 90.00 90.00°
Site moments in Bohr magnetons follow the coordinates.
Positions (direct):
N1 0.0000 0.5000 0.0000  0.32
N2 0.5000 0.0000 0.0000  0.32
Br1 0.0000 0.0000 0.0000  -0.03
O1 0.0000 0.0000 0.5000  0.03
Ba1 0.5000 0.5000 0.5000  0.00

---

# 3
BaBrN2O | PBE | relaxed

Output
Symmetry: No. 123

Cell: 5.6182 5.6182 4.8569 Å, 90.00 90.00 90.00°
Site moments in Bohr magnetons follow the coordinates.
Positions (direct):
N1 0.5000 0.0000 0.0000  1.74
N2 0.0000 0.5000 0.0000  1.74
Br1 0.5000 0.5000 0.5000  0.48
O1 0.0000 0.0000 0.5000  0.82
Ba1 0.0000 0.0000 0.0000  0.10

---

# 4
Ba8Br3N3O | PBE | relaxed

Output
Symmetry: No. 12

Cell: 8.3172 8.3251 9.2306 Å, 116.84 90.00 119.97°
Positions (direct):
Ba1 0.2690 0.5380 0.3078
Ba2 0.7671 0.5343 0.3111
Ba3 0.7240 0.9566 0.6886
Ba4 0.2760 0.0434 0.3114
Ba5 0.7674 0.0434 0.3114
Ba6 0.2329 0.4657 0.6889
Ba7 0.7310 0.4620 0.6922
Ba8 0.2326 0.9566 0.6886
N1 0.5000 0.5000 0.5000
N2 0.0000 0.5000 0.5000
N3 0.5000 0.0000 0.5000
O1 0.0000 0.0000 0.5000
Br1 0.0000 0.5000 0.0000
Br2 0.5000 0.5000 0.0000
Br3 0.0000 0.0000 0.0000

---

# 5
Ba2OsBrN | PBE | relaxed

Output
Symmetry: No. 123

Cell: 5.8761 5.8761 3.8236 Å, 90.00 90.00 90.00°
Positions (direct):
Ba1 0.0000 0.5000 0.0000
Ba2 0.5000 0.0000 0.0000
Os1 0.0000 0.0000 0.5000
Br1 0.5000 0.5000 0.5000
N1 0.0000 0.0000 0.0000

---

# 6
Ba6P2Br3N | PBE | relaxed

Output
Symmetry: No. 12

Cell: 7.8737 7.8737 8.4098 Å, 99.02 99.02 120.03°
Positions (direct):
Ba1 0.3742 0.0674 0.2015
Ba2 0.0674 0.3742 0.2015
Ba3 0.9326 0.6258 0.7985
Ba4 0.7618 0.7618 0.1995
Ba5 0.6258 0.9326 0.7985
Ba6 0.2382 0.2382 0.8005
Br1 0.8313 0.1687 0.5000
Br2 0.5000 0.5000 0.5000
Br3 0.1687 0.8313 0.5000
P1 0.3333 0.6667 0.0000
P2 0.6667 0.3333 0.0000
N1 0.0000 0.0000 0.0000

---

For each record above, in turn, the calculated calculated total energy values are -0.165, -0.159, -0.136, -0.169, -0.214, -0.161 Ha/atom.
For each record above, in turn, the calculated M_tot values are 0.00, 0.18, 1.40, 0.07, 0.00, 0.01 μB per atom.